# PmTm2MgHg4 GGA-PBE optimized geometry
# - DFT formation energy: -437 meV per atom
# - Fermi-level density of states: 4.9 states/eV/f.u.
# - Crystal system: trigonal
data_PmTm2MgHg4
_chemical_formula_sum 'Pm3 Tm6 Mg3 Hg12'
_cell_length_a 5.1054
_cell_length_b 5.1054
_cell_length_c 26.2413
_cell_angle_alpha 90.00
_cell_angle_beta 90.00
_cell_angle_gamma 120.00
_symmetry_space_group_name_H-M 'R -3 m'
_symmetry_Int_Tables_number 166
_symmetry_space_group_name_Hall '-R 3 2"'
loop_
_atom_site_label
_atom_site_fract_x
_atom_site_fract_y
_atom_site_fract_z
Pm1 0.0000 0.0000 0.0000
Tm1 0.0000 0.0000 0.2438
Mg1 0.0000 0.0000 0.5000
Hg1 0.0000 0.0000 0.1263
Hg2 0.0000 0.0000 0.3803